(1)
DFT (meta-GGA SCAN) results for a crystal of Ta2HgW relaxed with PBEsol.

Energy of formation (eV per atom): 0.288
Volume (Å³/atom): 17.6

Cell: 2.822 4.719 5.313 Å, 90.00 96.72 90.00°
Fractional coordinates of all 4 atoms:
Ta 0.000 0.000 0.000
Ta 0.237 0.500 0.724
Hg 0.623 0.000 0.493
W 0.680 0.500 0.197

(2)
DFT (meta-GGA SCAN) results for a crystal of Er2AlCu relaxed with PBEsol.

Energy of formation (eV per atom): -0.367
Volume (Å³/atom): 20.6

Cell: 3.368 3.368 7.252 Å, 90.00 90.00 90.00°
Fractional coordinates of all 4 atoms:
Er 0.000 0.000 0.234
Er 0.000 0.000 0.766
Al 0.500 0.500 0.500
Cu 0.500 0.500 0.000

(3)
DFT (meta-GGA SCAN) results for a crystal of CoHgPt2 relaxed with PBEsol.

Energy of formation (eV per atom): 0.140
Volume (Å³/atom): 15.3

Cell: 2.796 4.487 4.871 Å, 90.00 90.08 90.00°
Fractional coordinates of all 4 atoms:
Co 0.000 0.000 0.000
Hg 0.998 0.500 0.347
Pt 0.498 0.500 0.860
Pt 0.499 0.000 0.537

(4)
DFT (meta-GGA SCAN) results for a crystal of LaCrAu4 relaxed with PBEsol.

Energy of formation (eV per atom): -0.478
Volume (Å³/atom): 19.8

Cell: 5.514 5.514 5.514 Å, 60.00 60.00 60.00°
Fractional coordinates of all 6 atoms:
La 0.000 0.000 0.000
Cr 0.750 0.750 0.750
Au 0.376 0.376 0.376
Au 0.376 0.376 0.873
Au 0.376 0.873 0.376
Au 0.873 0.376 0.376

(5)
DFT (meta-GGA SCAN) results for a crystal of Li2MnCrO4 relaxed with PBEsol.

Volume (Å³/atom): 8.6
Formation energy from raw total energies (kJ/mol of atoms): -228
Distance to the lowest polymorph of the same formula (meV per atom): 10

Cell: 4.017 4.017 8.487 Å, 90.00 90.00 90.00°
Fractional coordinates of all 16 atoms:
Li 0.000 0.000 0.000
Li 0.000 0.500 0.250
Li 0.500 0.000 0.750
Li 0.500 0.500 0.500
Mn 0.000 0.500 0.750
Mn 0.500 0.000 0.250
Cr 0.000 0.000 0.500
Cr 0.500 0.500 0.000
O 0.000 0.000 0.267
O 0.000 0.000 0.733
O 0.000 0.500 0.520
O 0.000 0.500 0.980
O 0.500 0.000 0.020
O 0.500 0.000 0.480
O 0.500 0.500 0.233
O 0.500 0.500 0.767

(6)
DFT (meta-GGA SCAN) results for a crystal of AuSeCl relaxed with PBEsol.

Volume (Å³/atom): 21.9
Formation energy from raw total energies (kJ/mol of atoms): 40

Cell: 6.401 6.401 6.401 Å, 90.00 90.00 90.00°
Fractional coordinates of all 12 atoms:
Au 0.000 0.000 0.000
Au 0.000 0.500 0.500
Au 0.500 0.000 0.500
Au 0.500 0.500 0.000
Se 0.250 0.250 0.750
Se 0.250 0.750 0.250
Se 0.750 0.250 0.250
Se 0.750 0.750 0.750
Cl 0.250 0.250 0.250
Cl 0.250 0.750 0.750
Cl 0.750 0.250 0.750
Cl 0.750 0.750 0.250

(7)
DFT (meta-GGA SCAN) results for a crystal of TePtPb2 relaxed with PBEsol.

Volume (Å³/atom): 24.3
Formation energy from raw total energies (kJ/mol of atoms): 21

Cell: 4.524 4.524 4.760 Å, 90.00 90.00 90.00°
Fractional coordinates of all 4 atoms:
Te 0.000 0.000 0.000
Pt 0.500 0.500 0.000
Pb 0.000 0.500 0.500
Pb 0.500 0.000 0.500

(8)
DFT (meta-GGA SCAN) results for a crystal of TlAgTe relaxed with PBEsol.

Volume (Å³/atom): 28.7
Formation energy from raw total energies (kJ/mol of atoms): -18
Distance to the lowest polymorph of the same formula (meV per atom): 18

Cell: 4.682 4.682 4.541 Å, 90.00 90.00 120.00°
Fractional coordinates of all 3 atoms:
Tl 0.000 0.000 0.000
Ag 0.333 0.667 0.500
Te 0.667 0.333 0.500

(9)
DFT (meta-GGA SCAN) results for a crystal of Sc4CrBr relaxed with PBEsol.

Volume (Å³/atom): 23.5
Formation energy from raw total energies (kJ/mol of atoms): 50

Cell: 5.842 5.842 5.842 Å, 60.00 60.00 60.00°
Fractional coordinates of all 6 atoms:
Sc 0.123 0.123 0.123
Sc 0.123 0.123 0.632
Sc 0.123 0.632 0.123
Sc 0.632 0.123 0.123
Cr 0.750 0.750 0.750
Br 0.500 0.500 0.500

(10)
DFT (meta-GGA SCAN) results for a crystal of HfPCl2O relaxed with PBEsol.

Volume (Å³/atom): 23.9
Formation energy from raw total energies (kJ/mol of atoms): -28

Cell: 4.850 4.850 5.071 Å, 90.00 90.00 90.00°
Fractional coordinates of all 5 atoms:
Hf 0.000 0.000 0.000
P 0.000 0.000 0.500
Cl 0.000 0.500 0.000
Cl 0.500 0.000 0.000
O 0.500 0.500 0.500

(11)
DFT (meta-GGA SCAN) results for a crystal of Mg2AgSe relaxed with PBEsol.

Volume (Å³/atom): 20.3
Formation energy from raw total energies (kJ/mol of atoms): 4

Cell: 6.872 6.872 6.872 Å, 90.00 90.00 90.00°
Fractional coordinates of all 16 atoms:
Mg 0.000 0.000 0.000
Mg 0.000 0.500 0.500
Mg 0.250 0.250 0.250
Mg 0.250 0.750 0.750
Mg 0.500 0.000 0.500
Mg 0.500 0.500 0.000
Mg 0.750 0.250 0.750
Mg 0.750 0.750 0.250
Ag 0.000 0.000 0.500
Ag 0.000 0.500 0.000
Ag 0.500 0.000 0.000
Ag 0.500 0.500 0.500
Se 0.250 0.250 0.750
Se 0.250 0.750 0.250
Se 0.750 0.250 0.250
Se 0.750 0.750 0.750

(12)
DFT (meta-GGA SCAN) results for a crystal of CrCoAsO2 relaxed with PBEsol.

Volume (Å³/atom): 12.5
Formation energy from raw total energies (kJ/mol of atoms): -57

Cell: 3.463 3.463 5.195 Å, 90.00 90.00 90.00°
Fractional coordinates of all 5 atoms:
Cr 0.000 0.000 0.000
Co 0.000 0.000 0.500
As 0.500 0.500 0.500
O 0.000 0.500 0.000
O 0.500 0.000 0.000

(13)
DFT (meta-GGA SCAN) results for a crystal of La2SbSe relaxed with PBEsol.

Volume (Å³/atom): 30.3
Formation energy from raw total energies (kJ/mol of atoms): -177
Distance to the lowest polymorph of the same formula (meV per atom): 0

Cell: 4.425 4.425 21.473 Å, 90.00 90.00 120.00°
Fractional coordinates of all 12 atoms:
La 0.000 0.000 0.246
La 0.000 0.000 0.754
La 0.333 0.667 0.421
La 0.333 0.667 0.913
La 0.667 0.333 0.087
La 0.667 0.333 0.579
Sb 0.000 0.000 0.000
Sb 0.333 0.667 0.667
Sb 0.667 0.333 0.333
Se 0.000 0.000 0.500
Se 0.333 0.667 0.167
Se 0.667 0.333 0.833

(14)
DFT (meta-GGA SCAN) results for a crystal of TcSnH2W relaxed with PBEsol.

Volume (Å³/atom): 11.8
Raw total energy (eV/cell): -147.4

Cell: 3.070 3.070 6.248 Å, 90.00 90.00 90.00°
Fractional coordinates of all 5 atoms:
Tc 0.000 0.000 0.000
Sn 0.500 0.500 0.283
H 0.000 0.500 0.591
H 0.500 0.000 0.591
W 0.500 0.500 0.755

(15)
DFT (meta-GGA SCAN) results for a crystal of ScNbTc2 relaxed with PBEsol.

Energy of formation (eV per atom): -0.306
Volume (Å³/atom): 15.9

Cell: 6.337 6.337 6.337 Å, 90.00 90.00 90.00°
Fractional coordinates of all 16 atoms:
Sc 0.000 0.000 0.000
Sc 0.000 0.500 0.500
Sc 0.500 0.000 0.500
Sc 0.500 0.500 0.000
Nb 0.000 0.000 0.500
Nb 0.000 0.500 0.000
Nb 0.500 0.000 0.000
Nb 0.500 0.500 0.500
Tc 0.250 0.250 0.250
Tc 0.250 0.250 0.750
Tc 0.250 0.750 0.250
Tc 0.250 0.750 0.750
Tc 0.750 0.250 0.250
Tc 0.750 0.250 0.750
Tc 0.750 0.750 0.250
Tc 0.750 0.750 0.750

(16)
DFT (meta-GGA SCAN) results for a crystal of MnHgTeI2 relaxed with PBEsol.

Volume (Å³/atom): 30.5
Formation energy from raw total energies (kJ/mol of atoms): -7

Cell: 5.381 5.381 5.272 Å, 90.00 90.00 90.00°
Fractional coordinates of all 5 atoms:
Mn 0.000 0.000 0.000
Hg 0.500 0.500 0.500
Te 0.000 0.000 0.500
I 0.000 0.500 0.000
I 0.500 0.000 0.000

(17)
DFT (meta-GGA SCAN) results for a crystal of Sr2YTl relaxed with PBEsol.

Energy of formation (eV per atom): -0.146
Volume (Å³/atom): 34.7
Distance to the lowest polymorph of the same formula (meV per atom): 103

Cell: 4.174 5.485 12.139 Å, 90.00 90.00 90.00°
Fractional coordinates of all 8 atoms:
Sr 0.000 0.000 0.214
Sr 0.000 0.000 0.786
Sr 0.500 0.500 0.286
Sr 0.500 0.500 0.714
Y 0.000 0.500 0.000
Y 0.500 0.000 0.500
Tl 0.000 0.500 0.500
Tl 0.500 0.000 0.000

(18)
DFT (meta-GGA SCAN) results for a crystal of Ca3NbO6 relaxed with PBEsol.

Volume (Å³/atom): 13.2
Formation energy from raw total energies (kJ/mol of atoms): -283

Cell: 5.612 5.889 9.708 Å, 90.00 124.75 90.00°
Fractional coordinates of all 20 atoms:
Ca 0.000 0.000 0.000
Ca 0.000 0.500 0.500
Ca 0.219 0.061 0.741
Ca 0.219 0.439 0.241
Ca 0.781 0.561 0.759
Ca 0.781 0.939 0.259
Nb 0.500 0.000 0.500
Nb 0.500 0.500 0.000
O 0.156 0.186 0.441
O 0.156 0.314 0.941
O 0.239 0.723 0.417
O 0.239 0.777 0.917
O 0.404 0.064 0.271
O 0.404 0.436 0.771
O 0.596 0.564 0.229
O 0.596 0.936 0.729
O 0.761 0.223 0.083
O 0.761 0.277 0.583
O 0.844 0.686 0.059
O 0.844 0.814 0.559

(19)
DFT (meta-GGA SCAN) results for a crystal of SrLaAu relaxed with PBEsol.

Energy of formation (eV per atom): -0.649
Volume (Å³/atom): 32.4

Cell: 3.771 3.771 13.690 Å, 90.00 90.00 90.00°
Fractional coordinates of all 6 atoms:
Sr 0.000 0.000 0.000
Sr 0.500 0.500 0.500
La 0.000 0.000 0.261
La 0.500 0.500 0.761
Au 0.000 0.000 0.646
Au 0.500 0.500 0.146

(20)
DFT (meta-GGA SCAN) results for a crystal of Rb3SeCl relaxed with PBEsol.

Volume (Å³/atom): 52.6
Formation energy from raw total energies (kJ/mol of atoms): -127

Cell: 6.409 6.409 6.409 Å, 90.00 90.00 90.00°
Fractional coordinates of all 5 atoms:
Rb 0.000 0.000 0.500
Rb 0.000 0.500 0.000
Rb 0.500 0.000 0.000
Se 0.000 0.000 0.000
Cl 0.500 0.500 0.500